Entry 1:
Compound: Fe3AgSb
Source: Alexandria
Functional: GGA-PBEsol
Structure: optimized geometry Values from VASP.

Summary:
The calculation puts the total energy at -5.519 eV per atom. The value obtained for the size of the total moment is 7.92 μB/cell. The calculation puts the formation energy without anion corrections at 7.166 eV/f.u.

Structure (Quantum ESPRESSO input):
```
&SYSTEM
  ibrav = 0, nat = 5, ntyp = 3
/
ATOMIC_SPECIES
Fe 55.84 Fe.upf
Sb 121.76 Sb.upf
Ag 107.87 Ag.upf
CELL_PARAMETERS angstrom
-0.705 2.514 3.871
-3.933 1.724 -1.835
-2.417 -3.537 1.857
ATOMIC_POSITIONS crystal
Fe 0.500 0.000 0.000
Fe 0.000 0.500 0.000
Fe 0.000 0.000 0.500
Sb 0.000 0.000 0.000
Ag 0.500 0.500 0.500
```

---

Entry 2:
Compound: Fe2AgSb
Source: Alexandria
Functional: GGA-PBEsol
Structure: optimized geometry Values from VASP.

Summary:
The calculation puts the total energy at -6.135 eV per atom. The value obtained for the size of the total moment is 4.80 μB/cell. The calculation puts the formation energy without anion corrections at 1.255 eV/f.u.

Structure (Quantum ESPRESSO input):
```
&SYSTEM
  ibrav = 0, nat = 4, ntyp = 3
/
ATOMIC_SPECIES
Ag 107.87 Ag.upf
Sb 121.76 Sb.upf
Fe 55.84 Fe.upf
CELL_PARAMETERS angstrom
3.306 0.000 0.000
0.000 4.263 0.000
-1.653 -2.131 4.303
ATOMIC_POSITIONS crystal
Ag 0.262 0.762 0.523
Sb 0.487 0.487 0.973
Fe 0.727 0.227 0.454
Fe 0.025 0.025 0.050
```

---

Entry 3:
Compound: Sc2FeAg
Source: Alexandria
Functional: GGA-PBEsol
Structure: optimized geometry Values from VASP.

Summary:
The calculation puts the total energy at -6.110 eV per atom. The value obtained for the formation energy is 0.262 eV/atom. The value obtained for the size of the total moment is 2.79 μB/cell.

Structure (Quantum ESPRESSO input):
```
&SYSTEM
  ibrav = 0, nat = 4, ntyp = 3
/
ATOMIC_SPECIES
Ag 107.87 Ag.upf
Fe 55.84 Fe.upf
Sc 44.96 Sc.upf
CELL_PARAMETERS angstrom
3.000 0.000 0.000
1.500 2.598 0.000
1.500 0.866 9.292
ATOMIC_POSITIONS crystal
Ag 0.507 0.507 0.479
Fe 0.249 0.249 0.253
Sc 0.754 0.754 0.737
Sc 0.990 0.990 0.030
```

---

Entry 4:
Compound: Sc2FeAg
Source: Alexandria
Functional: GGA-PBEsol
Structure: optimized geometry Values from VASP.

Summary:
The calculation puts the total energy at -6.372 eV per atom. The value obtained for the formation energy is -0.001 eV/atom. The value obtained for the size of the total moment is 0.00 μB/cell.

Structure (Quantum ESPRESSO input):
```
&SYSTEM
  ibrav = 0, nat = 4, ntyp = 3
/
ATOMIC_SPECIES
Ag 107.87 Ag.upf
Sc 44.96 Sc.upf
Fe 55.84 Fe.upf
CELL_PARAMETERS angstrom
3.124 0.000 0.000
0.000 4.477 0.000
-1.562 -2.238 4.922
ATOMIC_POSITIONS crystal
Ag 0.534 0.534 0.068
Sc 0.757 0.257 0.513
Sc 0.959 0.959 0.918
Fe 0.250 0.750 0.501
```